[1]
# Ti4GaGe

A geometry-optimized Ti4GaGe structure (GGA-PBE, Alexandria via LeMat-Bulk).

Properties
Raw total energy, eV per atom: -6.836
Polymorph energy (0 for the lowest one), meV/atom: 106
DFT formation energy, eV/f.u.: -1.8

Lattice parameters (Å, degrees): 6.276 6.276 6.839 117.31 117.31 90.00
Positions (direct):
1 Ti 0.489 0.989 0.283
2 Ti 0.989 0.794 0.283
3 Ti 0.294 0.489 0.283
4 Ti 0.706 0.511 0.717
5 Ti 0.011 0.206 0.717
6 Ti 0.511 0.011 0.717
7 Ti 0.206 0.706 0.717
8 Ti 0.794 0.294 0.283
9 Ga 0.250 0.250 0.500
10 Ga 0.750 0.750 0.500
11 Ge 0.500 0.500 0.000
12 Ge 0.000 0.000 0.000

---

[2]
# Th2Cu3NiGe4

A geometry-optimized Th2Cu3NiGe4 structure (GGA-PBE, Alexandria via LeMat-Bulk).

Properties
Raw total energy, eV per atom: -5.678
DFT formation energy, eV/f.u.: -5.4

Lattice parameters (Å, degrees): 4.241 4.241 9.830 90.00 90.00 90.00
Positions (direct):
1 Th 0.500 0.000 0.260
2 Th 0.000 0.500 0.740
3 Cu 0.000 0.000 0.500
4 Cu 0.500 0.000 0.868
5 Cu 0.000 0.500 0.132
6 Ni 0.500 0.500 0.500
7 Ge 0.500 0.500 0.000
8 Ge 0.000 0.000 0.000
9 Ge 0.500 0.000 0.624
10 Ge 0.000 0.500 0.376

---

[3]
# SrInBi4

A geometry-optimized SrInBi4 structure (GGA-PBE, Alexandria via LeMat-Bulk).

Properties
Raw total energy, eV per atom: -3.556
Polymorph energy (0 for the lowest one), meV/atom: 0
DFT formation energy, eV/f.u.: -1.4

Lattice parameters (Å, degrees): 5.544 6.929 10.901 71.47 90.00 90.00
Positions (direct):
1 Sr 0.750 0.624 0.252
2 Sr 0.250 0.376 0.748
3 In 0.750 0.125 0.250
4 In 0.250 0.875 0.750
5 Bi 0.250 0.807 0.415
6 Bi 0.250 0.970 0.086
7 Bi 0.750 0.722 0.585
8 Bi 0.750 0.556 0.914
9 Bi 0.750 0.193 0.585
10 Bi 0.250 0.278 0.415
11 Bi 0.750 0.030 0.914
12 Bi 0.250 0.444 0.086

---

[4]
# TlGaTeI2

A geometry-optimized TlGaTeI2 structure (GGA-PBE, Alexandria via LeMat-Bulk).

Properties
Raw total energy, eV per atom: -2.528
Polymorph energy (0 for the lowest one), meV/atom: 0
E_form (uncorrected), eV/atom: -0.20

Lattice parameters (Å, degrees): 5.847 5.847 5.452 90.00 90.00 90.00
Positions (direct):
1 I 0.000 0.500 0.000
2 I 0.500 0.000 0.000
3 Tl 0.500 0.500 0.500
4 Te 0.000 0.000 0.500
5 Ga 0.000 0.000 0.000

---

> raw total energy of number 3 (SrInBi4)?

-3.556 eV per atom

---

> What is the formula in the fourth record?

TlGaTeI2